Entry 1:
Material: ScHg2Cl
Method: DFT, PBE
State: relaxed

CIF file:
```
data_ScHg2Cl
_space_group_name_H-M_alt 'I m m m'
_space_group_IT_number 71
_space_group_name_Hall '-I 2 2'
_cell_length_a 3.2019
_cell_length_b 4.3076
_cell_length_c 14.1201
_cell_angle_alpha 90.00
_cell_angle_beta 90.00
_cell_angle_gamma 90.00
loop_
_atom_site_label
_atom_site_type_symbol
_atom_site_fract_x
_atom_site_fract_y
_atom_site_fract_z
Sc1 Sc 0.0000 0.0000 0.0000
Hg1 Hg 0.0000 0.5000 0.3108
Cl1 Cl 0.0000 0.0000 0.5000
```

Results
magnetization	0.000	μB/f.u.
ΔE to the lowest computed polymorph	13.2	kJ/mol of atoms
calculated volume	24.344	A^3/atom
energy relative to the elements, uncorrected	-0.5675	eV per atom
energy	-22.10	eV per cell


Entry 2:
Material: MnSe
Method: DFT, PBE
State: relaxed

CIF file:
```
data_MnSe
_space_group_name_H-M_alt 'P 63 m c'
_space_group_IT_number 186
_space_group_name_Hall 'P 6c -2c'
_cell_length_a 4.2195
_cell_length_b 4.2195
_cell_length_c 6.8049
_cell_angle_alpha 90.00
_cell_angle_beta 90.00
_cell_angle_gamma 120.00
loop_
_atom_site_label
_atom_site_type_symbol
_atom_site_fract_x
_atom_site_fract_y
_atom_site_fract_z
Mn1 Mn 0.3333 0.6667 0.0000
Se1 Se 0.3333 0.6667 0.3789
```

Results
magnetization	5.000	μB/f.u.
calculated volume	26.231	A^3/atom
energy relative to the elements, uncorrected	-0.3573	eV per atom
energy	-26.74	eV per cell


Entry 3:
Material: Ba2SmThSb4
Method: DFT, PBE
State: relaxed

CIF file:
```
data_Ba2SmThSb4
_space_group_name_H-M_alt 'P 1 2/m 1'
_space_group_IT_number 10
_cell_length_a 8.0940
_cell_length_b 4.6793
_cell_length_c 8.4392
_cell_angle_alpha 90.00
_cell_angle_beta 108.71
_cell_angle_gamma 90.00
loop_
_space_group_symop_operation_xyz
'x,y,z'
'-x,-y,-z'
'-x,y,-z'
'x,-y,z'
loop_
_atom_site_label
_atom_site_type_symbol
_atom_site_fract_x
_atom_site_fract_y
_atom_site_fract_z
Ba1 Ba 0.0000 0.0000 0.0000
Ba2 Ba 0.5000 0.5000 0.0000
Sm1 Sm 0.0000 0.5000 0.5000
Th1 Th 0.5000 0.0000 0.5000
Sb1 Sb 0.2387 0.0000 0.7158
Sb2 Sb 0.2617 0.5000 0.2835
```

Results
magnetization	0.000	μB/f.u.
calculated volume	37.843	A^3/atom
energy relative to the elements, uncorrected	-0.9910	eV per atom
energy	-40.40	eV per cell


> What is the energy in the second record?

-26.74 eV per cell